(1)
This record from the Alexandria database describes crystalline Re3SnO at its relaxed geometry. The functional is GGA-PBE.

Crystal system: cubic
Energy relative to the lowest polymorph listed for this composition, meV per atom: 0.0
Space group: Pm-3m, No. 221

Unit cell a=4.180 b=4.180 c=4.180 alpha=90.00 beta=90.00 gamma=90.00
Sites, in units of the cell vectors:
Re: 0.000 0.000 0.500
Re: 0.000 0.500 0.000
Re: 0.500 0.000 0.000
Sn: 0.500 0.500 0.500
O: 0.000 0.000 0.000



(2)
This record from the Alexandria database describes crystalline ReTcSn2O6 at its relaxed geometry. The functional is GGA-PBE.

Crystal system: cubic
Space group: Fm-3m, No. 225

Unit cell a=5.667 b=5.667 c=5.667 alpha=60.00 beta=60.00 gamma=60.00
Sites, in units of the cell vectors:
Re: 0.000 0.000 0.000
Tc: 0.500 0.500 0.500
Sn: 0.250 0.250 0.250
Sn: 0.750 0.750 0.750
O: 0.248 0.248 0.752
O: 0.248 0.752 0.248
O: 0.248 0.752 0.752
O: 0.752 0.248 0.248
O: 0.752 0.248 0.752
O: 0.752 0.752 0.248



(3)
This record from the Alexandria database describes crystalline Re2SnTeO at its relaxed geometry. The functional is GGA-PBE.

Crystal system: tetragonal
Space group: P4/mmm, No. 123

Unit cell a=4.904 b=4.904 c=6.088 alpha=90.00 beta=90.00 gamma=90.00
Sites, in units of the cell vectors:
Re: 0.000 0.500 0.000
Re: 0.500 0.000 0.000
Sn: 0.000 0.000 0.500
Te: 0.000 0.000 0.000
O: 0.500 0.500 0.500



Number 1: raw formation energy 3.5 eV/f.u., N(E_F) 1.0469 states/eV/atom, calculated volume 73.0 Å³/cell. Number 2: raw formation energy -10.9 eV/f.u., N(E_F) 0.2299 states/eV/atom, calculated volume 128.7 Å³/cell. Number 3: raw formation energy 12.4 eV/f.u., N(E_F) 0.8250 states/eV/atom, calculated volume 146.4 Å³/cell.